(1)
CrTcSbRu: relaxed, PBE.

Output
E_form (uncorrected)   -0.023 eV per atom
Space-group type   F-43m (216)
Magnetization   2.02 μB per cell
DFT total energy   -8.37 eV/atom

Unit cell a=4.4147 b=4.4147 c=4.4147 alpha=60.00 beta=60.00 gamma=60.00
With the nearest neighbours (Å) after each atom.
Element x y z (fractional)
1 Cr 0.7500 0.7500 0.7500  4 Ru 2.70, 4 Tc 2.70
2 Sb 0.2500 0.2500 0.2500  4 Tc 2.70, 4 Ru 2.70
3 Tc 0.5000 0.5000 0.5000  4 Cr 2.70, 4 Sb 2.70
4 Ru 0.0000 0.0000 0.0000  4 Sb 2.70, 4 Cr 2.70


(2)
CrNi2: relaxed, PBE.

Output
Space-group type   Cmcm (63)
Magnetization   0.01 μB per cell
DFT total energy   -7.03 eV/atom

Unit cell a=3.5906 b=5.5796 c=3.4864 alpha=90.00 beta=90.00 gamma=71.23
With the nearest neighbours (Å) after each atom.
Element x y z (fractional)
1 Cr 0.9187 0.1626 0.2500  2 Cr 2.45, 10 Ni 2.47-2.52
2 Cr 0.0813 0.8374 0.7500  2 Cr 2.45, 10 Ni 2.47-2.52
3 Ni 0.5794 0.8411 0.2500  6 Ni 2.42-2.55, 6 Cr 2.47-2.50
4 Ni 0.4206 0.1589 0.7500  6 Ni 2.42-2.55, 6 Cr 2.47-2.50
5 Ni 0.2513 0.4973 0.2500  8 Ni 2.50-2.55, 4 Cr 2.50-2.52
6 Ni 0.7487 0.5027 0.7500  8 Ni 2.50-2.55, 4 Cr 2.50-2.52


(3)
RbVSi2: relaxed, PBE.

Output
E_form (uncorrected)   0.470 eV per atom
Space-group type   I4_1/amd (141)
Magnetization   3.30 μB per cell
DFT total energy   -4.76 eV/atom

Unit cell a=5.4597 b=5.4597 c=8.8700 alpha=72.08 beta=72.08 gamma=90.00
With the nearest neighbours (Å) after each atom.
Element x y z (fractional)
1 Si 0.3751 0.1250 0.2500  2 V 2.42
2 Si 0.3749 0.6250 0.2500  2 V 2.42
3 Si 0.3750 0.6249 0.7500  2 V 2.42
4 Si 0.8750 0.6251 0.7500  2 V 2.42
5 Rb 0.0000 0.0000 0.0000  8 Si 3.65, 4 V 3.86
6 Rb 0.7500 0.2500 0.5000  8 Si 3.65, 4 V 3.86
7 V 0.5000 0.5000 0.0000  4 Si 2.42
8 V 0.2500 0.7500 0.5000  4 Si 2.42


(4)
SmThCBr: relaxed, PBE.

Output
E_form (uncorrected)   -0.868 eV per atom
Space-group type   Cm (8)
Magnetization   0.00 μB per cell
DFT total energy   -6.63 eV/atom

Unit cell a=3.7294 b=3.7365 c=7.8960 alpha=89.98 beta=103.62 gamma=120.11
With the nearest neighbours (Å) after each atom.
Element x y z (fractional)
1 Sm 0.5119 0.1539 0.6811  3 C 2.58
2 Th 0.0879 0.9422 0.0453  3 C 2.54
3 C 0.3031 0.5493 0.8678  3 Th 2.54, 3 Sm 2.58
4 Br 0.9751 0.3854 0.3754  3 Sm 3.17, 3 Th 3.31


(5)
ZrSc3Rh4: relaxed, PBE.

Output
Space-group type   R-3m (166)
Magnetization   0.00 μB per cell
DFT total energy   -8.08 eV/atom

Unit cell a=4.6005 b=4.6005 c=7.9615 alpha=73.21 beta=73.21 gamma=60.00
With the nearest neighbours (Å) after each atom.
Element x y z (fractional)
1 Sc 0.2481 0.2481 0.2556  8 Rh 2.79-2.84
2 Sc 0.7519 0.7519 0.7444  8 Rh 2.79-2.84
3 Sc 0.5000 0.5000 0.5000  8 Rh 2.82-2.84
4 Rh 0.8759 0.8759 0.3722  7 Sc 2.79-2.82, 1 Zr 2.79
5 Rh 0.3740 0.3740 0.8781  3 Zr 2.81, 5 Sc 2.83-2.84
6 Rh 0.1241 0.1241 0.6278  7 Sc 2.79-2.82, 1 Zr 2.79
7 Rh 0.6260 0.6260 0.1219  3 Zr 2.81, 5 Sc 2.83-2.84
8 Zr 0.0000 0.0000 0.0000  8 Rh 2.79-2.81


(6)
KSmY4S8: relaxed, PBE.

Output
E_form (uncorrected)   -1.934 eV per atom
Space-group type   R3m (160)
Magnetization   0.00 μB per cell
DFT total energy   -6.55 eV/atom

Unit cell a=8.2276 b=8.2276 c=8.2918 alpha=60.26 beta=60.26 gamma=60.00
With the nearest neighbours (Å) after each atom.
Element x y z (fractional)
1 K 0.3730 0.3730 0.8809  4 S 2.86
2 Sm 0.0046 0.0046 0.9863  6 S 2.72-2.92
3 Y 0.6253 0.6253 0.1241  4 S 2.67-2.69
4 Y 0.0044 0.4868 0.5043  6 S 2.67-2.89
5 Y 0.4868 0.0044 0.5043  6 S 2.67-2.89
6 Y 0.0044 0.0044 0.5043  6 S 2.67-2.89
7 S 0.2369 0.7981 0.7281  2 Y 2.67, 1 Sm 2.72, 1 K 2.86
8 S 0.7981 0.2369 0.7281  2 Y 2.67, 1 Sm 2.72, 1 K 2.86
9 S 0.2369 0.2369 0.7281  2 Y 2.67, 1 Sm 2.72, 1 K 2.86
10 S 0.2330 0.2330 0.3011  3 Y 2.68, 1 K 2.86
11 S 0.7550 0.2292 0.2608  3 Y 2.67-2.88, 1 Sm 2.92
12 S 0.2292 0.7550 0.2608  3 Y 2.67-2.88, 1 Sm 2.92
13 S 0.7550 0.7550 0.2608  3 Y 2.67-2.88, 1 Sm 2.92
14 S 0.7574 0.7574 0.7279  4 Y 2.69-2.89


(7)
Ti2GaMo: relaxed, PBE.

Output
Space-group type   I-42d (122)
Magnetization   0.00 μB per cell
DFT total energy   -7.18 eV/atom

Unit cell a=7.1506 b=7.1506 c=5.7142 alpha=51.27 beta=51.27 gamma=90.00
With the nearest neighbours (Å) after each atom.
Element x y z (fractional)
1 Mo 0.0000 0.0000 0.0000  4 Ti 2.55, 2 Ga 2.66
2 Mo 0.7500 0.2500 0.5000  4 Ti 2.55, 2 Ga 2.66
3 Ga 0.5000 0.5000 0.0000  2 Mo 2.66, 4 Ti 2.68
4 Ga 0.2500 0.7500 0.5000  2 Mo 2.66, 4 Ti 2.68
5 Ti 0.6378 0.1250 0.2500  2 Mo 2.55, 2 Ti 2.67, 2 Ga 2.68
6 Ti 0.1122 0.6250 0.2500  2 Mo 2.55, 2 Ti 2.67, 2 Ga 2.68
7 Ti 0.3750 0.3622 0.7500  2 Mo 2.55, 2 Ti 2.67, 2 Ga 2.68
8 Ti 0.8750 0.8878 0.7500  2 Mo 2.55, 2 Ti 2.67, 2 Ga 2.68


(8)
Pm2HoC2Cl2: relaxed, PBE.

Output
E_form (uncorrected)   -0.788 eV per atom
Space-group type   I4/mmm (139)
Magnetization   0.00 μB per cell
DFT total energy   -5.96 eV/atom

Unit cell a=4.5298 b=4.5298 c=7.9403 alpha=106.57 beta=106.57 gamma=90.00
With the nearest neighbours (Å) after each atom.
Element x y z (fractional)
1 Pm 0.3950 0.3950 0.7899  4 C 2.73, 1 Cl 2.91, 1 Pm 3.05
2 Pm 0.6050 0.6050 0.2101  4 C 2.73, 1 Cl 2.91, 1 Pm 3.05
3 Ho 0.0000 0.0000 0.0000  4 C 2.26
4 C 0.0000 0.5000 0.0000  2 Ho 2.26
5 C 0.5000 0.0000 0.0000  2 Ho 2.26
6 Cl 0.1946 0.1946 0.3892  1 Ho 2.83, 1 Pm 2.91
7 Cl 0.8054 0.8054 0.6108  1 Ho 2.83, 1 Pm 2.91